# Ti2ReI, relaxed, DFT PBE
data_Ti2ReI
_chemical_formula_sum 'Ti4 Re2 I2'
_symmetry_space_group_name_H-M 'P 1'
_symmetry_Int_Tables_number 1
_cell_length_a 5.835
_cell_length_b 5.835
_cell_length_c 7.547
_cell_angle_alpha 67.26
_cell_angle_beta 67.26
_cell_angle_gamma 90.00
loop_
_symmetry_equiv_pos_as_xyz
'x,y,z'
loop_
_atom_site_label
_atom_site_type_symbol
_atom_site_fract_x
_atom_site_fract_y
_atom_site_fract_z
Ti1 Ti 0.699 0.125 0.250
Ti2 Ti 0.875 0.949 0.750
Ti3 Ti 0.051 0.625 0.250
Ti4 Ti 0.375 0.301 0.750
Re1 Re 0.750 0.250 0.500
Re2 Re 0.000 0.000 0.000
I1 I 0.500 0.500 0.000
I2 I 0.250 0.750 0.500
# spin magnetization	0.000	μB per cell
# E	-26.4	eV per formula unit
# formation energy (no corrections)	835	meV/atom
# symmetry	No. 122
# E above lowest polymorph	317	meV/atom